No. 1
# LaTlCu PBE-GGA optimized geometry
# * calculated formation energy: 0.272 eV per atom
# * spin magnetization: 0.0000 μB per atom
# * V: 93.1 Å³/cell
# * N(E_F): 1.01 states/eV/atom
# * total DFT energy (no corrections): -0.25907 Ry per atom
data_LaTlCu
_cell_length_a 5.0870
_cell_length_b 5.0870
_cell_length_c 5.0870
_cell_angle_alpha 60.00
_cell_angle_beta 60.00
_cell_angle_gamma 60.00
_space_group_name_H-M_alt 'P 1'
_space_group_IT_number 1
loop_
_space_group_symop_operation_xyz
'x,y,z'
loop_
_atom_site_label
_atom_site_type_symbol
_atom_site_fract_x
_atom_site_fract_y
_atom_site_fract_z
La1 La 0.0000 0.0000 0.0000
Tl1 Tl 0.2500 0.2500 0.2500
Cu1 Cu 0.7500 0.7500 0.7500


No. 2
# LaTmTlCu PBE-GGA optimized geometry
# * calculated formation energy: -0.218 eV per atom
# * spin magnetization: 0.0000 μB per atom
# * V: 105.3 Å³/cell
# * N(E_F): 0.82 states/eV/atom
# * total DFT energy (no corrections): -0.30747 Ry per atom
data_LaTmTlCu
_cell_length_a 5.3008
_cell_length_b 5.3008
_cell_length_c 5.3008
_cell_angle_alpha 60.00
_cell_angle_beta 60.00
_cell_angle_gamma 60.00
_space_group_name_H-M_alt 'P 1'
_space_group_IT_number 1
loop_
_space_group_symop_operation_xyz
'x,y,z'
loop_
_atom_site_label
_atom_site_type_symbol
_atom_site_fract_x
_atom_site_fract_y
_atom_site_fract_z
La1 La 0.0000 0.0000 0.0000
Tm1 Tm 0.5000 0.5000 0.5000
Tl1 Tl 0.7500 0.7500 0.7500
Cu1 Cu 0.2500 0.2500 0.2500


No. 3
# LaTl2VCu PBE-GGA optimized geometry
# * calculated formation energy: 0.367 eV per atom
# * spin magnetization: 0.6832 μB per atom
# * V: 128.3 Å³/cell
# * N(E_F): 1.10 states/eV/atom
# * total DFT energy (no corrections): -0.30931 Ry per atom
data_LaTl2VCu
_cell_length_a 5.0612
_cell_length_b 5.0612
_cell_length_c 5.0072
_cell_angle_alpha 90.00
_cell_angle_beta 90.00
_cell_angle_gamma 90.00
_space_group_name_H-M_alt 'P 1'
_space_group_IT_number 1
loop_
_space_group_symop_operation_xyz
'x,y,z'
loop_
_atom_site_label
_atom_site_type_symbol
_atom_site_fract_x
_atom_site_fract_y
_atom_site_fract_z
La1 La 0.0000 0.0000 0.0000
Tl1 Tl 0.0000 0.5000 0.5000
Tl2 Tl 0.5000 0.0000 0.5000
V1 V 0.5000 0.5000 0.0000
Cu1 Cu 0.5000 0.5000 0.5000


No. 4
# LaTlZnCu PBE-GGA optimized geometry
# * calculated formation energy: -0.220 eV per atom
# * spin magnetization: 0.0000 μB per atom
# * V: 88.2 Å³/cell
# * N(E_F): 0.46 states/eV/atom
# * total DFT energy (no corrections): -0.24890 Ry per atom
data_LaTlZnCu
_cell_length_a 4.9964
_cell_length_b 4.9964
_cell_length_c 4.9964
_cell_angle_alpha 60.00
_cell_angle_beta 60.00
_cell_angle_gamma 60.00
_space_group_name_H-M_alt 'P 1'
_space_group_IT_number 1
loop_
_space_group_symop_operation_xyz
'x,y,z'
loop_
_atom_site_label
_atom_site_type_symbol
_atom_site_fract_x
_atom_site_fract_y
_atom_site_fract_z
La1 La 0.0000 0.0000 0.0000
Tl1 Tl 0.5000 0.5000 0.5000
Zn1 Zn 0.2500 0.2500 0.2500
Cu1 Cu 0.7500 0.7500 0.7500


No. 5
# LaTm2Cu9 PBE-GGA optimized geometry
# * calculated formation energy: -0.200 eV per atom
# * spin magnetization: 0.0000 μB per atom
# * V: 391.3 Å³/cell
# * N(E_F): 0.60 states/eV/atom
# * total DFT energy (no corrections): -0.32546 Ry per atom
data_LaTm2Cu9
_cell_length_a 5.2678
_cell_length_b 5.2678
_cell_length_c 16.2845
_cell_angle_alpha 90.00
_cell_angle_beta 90.00
_cell_angle_gamma 120.00
_space_group_name_H-M_alt 'P 1'
_space_group_IT_number 1
loop_
_space_group_symop_operation_xyz
'x,y,z'
loop_
_atom_site_label
_atom_site_type_symbol
_atom_site_fract_x
_atom_site_fract_y
_atom_site_fract_z
La1 La 0.3333 0.6667 0.2500
La2 La 0.6667 0.3333 0.7500
Tm1 Tm 0.3333 0.6667 0.0329
Tm2 Tm 0.3333 0.6667 0.4671
Tm3 Tm 0.6667 0.3333 0.5329
Tm4 Tm 0.6667 0.3333 0.9671
Cu1 Cu 0.0000 0.0000 0.0000
Cu2 Cu 0.0000 0.0000 0.2500
Cu3 Cu 0.0000 0.0000 0.5000
Cu4 Cu 0.0000 0.0000 0.7500
Cu5 Cu 0.1673 0.3346 0.6241
Cu6 Cu 0.1673 0.3346 0.8759
Cu7 Cu 0.1673 0.8327 0.6241
Cu8 Cu 0.1673 0.8327 0.8759
Cu9 Cu 0.3333 0.6667 0.7500
Cu10 Cu 0.3346 0.1673 0.1241
Cu11 Cu 0.3346 0.1673 0.3759
Cu12 Cu 0.6654 0.8327 0.6241
Cu13 Cu 0.6654 0.8327 0.8759
Cu14 Cu 0.6667 0.3333 0.2500
Cu15 Cu 0.8327 0.1673 0.1241
Cu16 Cu 0.8327 0.1673 0.3759
Cu17 Cu 0.8327 0.6654 0.1241
Cu18 Cu 0.8327 0.6654 0.3759


No. 6
# LaTm5Cu6 PBE-GGA optimized geometry
# * calculated formation energy: -0.254 eV per atom
# * spin magnetization: 0.0000 μB per atom
# * V: 248.1 Å³/cell
# * N(E_F): 0.54 states/eV/atom
# * total DFT energy (no corrections): -0.33634 Ry per atom
data_LaTm5Cu6
_cell_length_a 8.5016
_cell_length_b 8.5016
_cell_length_c 8.5016
_cell_angle_alpha 146.51
_cell_angle_beta 132.42
_cell_angle_gamma 59.43
_space_group_name_H-M_alt 'P 1'
_space_group_IT_number 1
loop_
_space_group_symop_operation_xyz
'x,y,z'
loop_
_atom_site_label
_atom_site_type_symbol
_atom_site_fract_x
_atom_site_fract_y
_atom_site_fract_z
La1 La 0.0000 0.0000 0.0000
Tm1 Tm 0.1666 0.6666 0.5000
Tm2 Tm 0.3319 0.3319 0.0000
Tm3 Tm 0.5000 0.0000 0.5000
Tm4 Tm 0.6681 0.6681 0.0000
Tm5 Tm 0.8334 0.3334 0.5000
Cu1 Cu 0.0876 0.8277 0.2599
Cu2 Cu 0.2736 0.5000 0.7736
Cu3 Cu 0.4322 0.1723 0.2599
Cu4 Cu 0.5678 0.8277 0.7401
Cu5 Cu 0.7264 0.5000 0.2264
Cu6 Cu 0.9124 0.1723 0.7401


- Number 5 is which compound?
  LaTm2Cu9